[1]
Hf2Nb3Ga4 | PBE | relaxed

Energy relative to the elements = -0.45 eV/atom
Space group = No. 14
Offset from the most stable computed form = 0 meV/atom
E = -7.367 eV per atom

Cell and atoms, written as CIF:
```
data_Hf2Nb3Ga4
_chemical_formula_sum 'Hf4 Nb6 Ga8'
_cell_length_a 6.874
_cell_length_b 7.070
_cell_length_c 7.059
_cell_angle_alpha 90.00
_cell_angle_beta 90.00
_cell_angle_gamma 110.21
_space_group_name_H-M_alt 'P 1'
_space_group_IT_number 1
loop_
_space_group_symop_operation_xyz
'x,y,z'
loop_
_atom_site_label
_atom_site_fract_x
_atom_site_fract_y
_atom_site_fract_z
Ga1 0.853 0.075 0.531
Ga2 0.147 0.925 0.469
Hf1 0.936 0.813 0.835
Hf2 0.064 0.187 0.165
Hf3 0.436 0.813 0.665
Ga3 0.635 0.522 0.628
Nb1 0.256 0.746 0.188
Nb2 0.244 0.254 0.688
Ga4 0.353 0.075 0.969
Nb3 0.756 0.746 0.312
Ga5 0.365 0.478 0.372
Ga6 0.647 0.925 0.031
Nb4 0.000 0.500 0.500
Ga7 0.135 0.522 0.872
Nb5 0.500 0.500 0.000
Nb6 0.744 0.254 0.812
Ga8 0.865 0.478 0.128
Hf4 0.564 0.187 0.335
```

***

[2]
Hf2Nb2Ga | PBE | relaxed

Energy relative to the elements = 0.03 eV/atom
Space group = No. 127
E = -8.586 eV per atom

Cell and atoms, written as CIF:
```
data_Hf2Nb2Ga
_chemical_formula_sum 'Hf4 Nb4 Ga2'
_cell_length_a 7.049
_cell_length_b 7.049
_cell_length_c 4.062
_cell_angle_alpha 90.00
_cell_angle_beta 90.00
_cell_angle_gamma 90.00
_space_group_name_H-M_alt 'P 1'
_space_group_IT_number 1
loop_
_space_group_symop_operation_xyz
'x,y,z'
loop_
_atom_site_label
_atom_site_fract_x
_atom_site_fract_y
_atom_site_fract_z
Hf1 0.669 0.831 0.500
Nb1 0.364 0.864 0.000
Nb2 0.864 0.636 0.000
Hf2 0.831 0.331 0.500
Ga1 0.000 0.000 0.000
Hf3 0.169 0.669 0.500
Ga2 0.500 0.500 0.000
Nb3 0.636 0.136 0.000
Nb4 0.136 0.364 0.000
Hf4 0.331 0.169 0.500
```

***

[3]
HfNbGa2 | PBE | relaxed

Energy relative to the elements = -0.26 eV/atom
Space group = No. 123
Offset from the most stable computed form = 174 meV/atom
E = -6.778 eV per atom

Cell and atoms, written as CIF:
```
data_HfNbGa2
_chemical_formula_sum 'Hf1 Nb1 Ga2'
_cell_length_a 3.500
_cell_length_b 3.500
_cell_length_c 5.769
_cell_angle_alpha 90.00
_cell_angle_beta 90.00
_cell_angle_gamma 90.00
_space_group_name_H-M_alt 'P 1'
_space_group_IT_number 1
loop_
_space_group_symop_operation_xyz
'x,y,z'
loop_
_atom_site_label
_atom_site_fract_x
_atom_site_fract_y
_atom_site_fract_z
Nb1 0.500 0.500 0.000
Ga1 0.000 0.000 0.765
Ga2 0.000 0.000 0.235
Hf1 0.500 0.500 0.500
```

***

[4]
HfNbGa | PBE | relaxed

Energy relative to the elements = -0.19 eV/atom
Space group = No. 11
Offset from the most stable computed form = 200 meV/atom
E = -7.869 eV per atom

Cell and atoms, written as CIF:
```
data_HfNbGa
_chemical_formula_sum 'Hf4 Nb4 Ga4'
_cell_length_a 6.831
_cell_length_b 6.026
_cell_length_c 6.026
_cell_angle_alpha 71.34
_cell_angle_beta 79.02
_cell_angle_gamma 79.02
_space_group_name_H-M_alt 'P 1'
_space_group_IT_number 1
loop_
_space_group_symop_operation_xyz
'x,y,z'
loop_
_atom_site_label
_atom_site_fract_x
_atom_site_fract_y
_atom_site_fract_z
Ga1 0.019 0.476 0.726
Hf1 0.310 0.657 0.907
Nb1 0.341 0.649 0.399
Hf2 0.690 0.343 0.093
Ga2 0.981 0.524 0.274
Ga3 0.981 0.024 0.774
Nb2 0.659 0.851 0.101
Nb3 0.341 0.149 0.899
Nb4 0.659 0.351 0.601
Hf3 0.690 0.843 0.593
Ga4 0.019 0.976 0.226
Hf4 0.310 0.157 0.407
```

***

[5]
Hf2NbGa | PBE | relaxed

Energy relative to the elements = -0.03 eV/atom
Space group = No. 160
E = -8.286 eV per atom

Cell and atoms, written as CIF:
```
data_Hf2NbGa
_chemical_formula_sum 'Hf2 Nb1 Ga1'
_cell_length_a 3.125
_cell_length_b 3.125
_cell_length_c 9.665
_cell_angle_alpha 80.70
_cell_angle_beta 80.70
_cell_angle_gamma 60.00
_space_group_name_H-M_alt 'P 1'
_space_group_IT_number 1
loop_
_space_group_symop_operation_xyz
'x,y,z'
loop_
_atom_site_label
_atom_site_fract_x
_atom_site_fract_y
_atom_site_fract_z
Hf1 0.252 0.252 0.245
Ga1 0.667 0.667 0.000
Nb1 0.500 0.500 0.501
Hf2 0.082 0.082 0.754
```

***

[6]
Hf2NbGa6 | PBE | relaxed

Energy relative to the elements = -0.19 eV/atom
Space group = No. 12
E = -5.542 eV per atom

Cell and atoms, written as CIF:
```
data_Hf2NbGa6
_chemical_formula_sum 'Hf2 Nb1 Ga6'
_cell_length_a 5.357
_cell_length_b 6.138
_cell_length_c 6.138
_cell_angle_alpha 52.79
_cell_angle_beta 84.51
_cell_angle_gamma 84.51
_space_group_name_H-M_alt 'P 1'
_space_group_IT_number 1
loop_
_space_group_symop_operation_xyz
'x,y,z'
loop_
_atom_site_label
_atom_site_fract_x
_atom_site_fract_y
_atom_site_fract_z
Ga1 0.656 0.647 0.156
Nb1 0.000 0.000 0.000
Ga2 0.344 0.844 0.353
Hf1 0.850 0.651 0.651
Ga3 0.656 0.156 0.647
Ga4 0.301 0.795 0.795
Ga5 0.699 0.205 0.205
Ga6 0.344 0.353 0.844
Hf2 0.150 0.349 0.349
```

***

[7]
Hf2NbGa4 | PBE | relaxed

Energy relative to the elements = -0.28 eV/atom
Space group = No. 107
Offset from the most stable computed form = 0 meV/atom
E = -6.295 eV per atom

Cell and atoms, written as CIF:
```
data_Hf2NbGa4
_chemical_formula_sum 'Hf2 Nb1 Ga4'
_cell_length_a 5.491
_cell_length_b 5.491
_cell_length_c 6.571
_cell_angle_alpha 126.76
_cell_angle_beta 126.76
_cell_angle_gamma 64.39
_space_group_name_H-M_alt 'P 1'
_space_group_IT_number 1
loop_
_space_group_symop_operation_xyz
'x,y,z'
loop_
_atom_site_label
_atom_site_fract_x
_atom_site_fract_y
_atom_site_fract_z
Hf1 0.250 0.750 0.500
Hf2 0.750 0.250 0.500
Ga1 0.696 0.697 0.394
Ga2 0.697 0.697 0.000
Ga3 0.303 0.303 0.000
Ga4 0.303 0.304 0.606
Nb1 0.001 0.999 0.000
```

***

[8]
Hf2Nb5Ga3 | PBE | relaxed

Energy relative to the elements = 0.05 eV/atom
Space group = No. 72
E = -7.888 eV per atom

Cell and atoms, written as CIF:
```
data_Hf2Nb5Ga3
_chemical_formula_sum 'Hf4 Nb10 Ga6'
_cell_length_a 5.437
_cell_length_b 8.965
_cell_length_c 8.965
_cell_angle_alpha 97.30
_cell_angle_beta 72.35
_cell_angle_gamma 72.35
_space_group_name_H-M_alt 'P 1'
_space_group_IT_number 1
loop_
_space_group_symop_operation_xyz
'x,y,z'
loop_
_atom_site_label
_atom_site_fract_x
_atom_site_fract_y
_atom_site_fract_z
Hf1 0.635 0.156 0.574
Ga1 0.250 0.000 0.000
Nb1 0.007 0.243 0.243
Ga2 0.640 0.511 0.208
Nb2 0.493 0.757 0.757
Nb3 0.576 0.765 0.083
Nb4 0.424 0.235 0.917
Nb5 0.076 0.083 0.765
Ga3 0.750 0.000 0.000
Hf2 0.365 0.844 0.426
Ga4 0.860 0.792 0.489
Nb6 0.250 0.500 0.500
Ga5 0.140 0.208 0.511
Nb7 0.993 0.757 0.757
Nb8 0.750 0.500 0.500
Nb9 0.924 0.917 0.235
Hf3 0.865 0.426 0.844
Nb10 0.507 0.243 0.243
Ga6 0.360 0.489 0.792
Hf4 0.135 0.574 0.156
```